Record 1
DFT (PBE) results for crystalline CsBi2OsO8 at its relaxed geometry.

POSCAR file:
```
CsBi2OsO8
1.0
0.123 5.634 -0.197
-5.592 -0.030 -1.429
-6.311 -0.101 5.420
Cs Bi Os O
1 2 1 8
direct
0.000 0.000 0.500 Cs
0.487 0.267 0.739 Bi
0.513 0.733 0.261 Bi
0.000 0.000 0.000 Os
0.185 0.988 0.199 O
0.867 0.647 0.191 O
0.726 0.171 0.026 O
0.815 0.012 0.801 O
0.133 0.353 0.809 O
0.274 0.829 0.974 O
0.580 0.697 0.532 O
0.420 0.303 0.468 O
```

## Properties
The value obtained for the energy relative to the elements, uncorrected is -1064 meV per atom. The theoretical density comes out at 6.52 g/cm3.

Record 2
DFT (PBE) results for crystalline SmDy7Y12 at its relaxed geometry.

POSCAR file:
```
SmDy7Y12
1.0
8.606 0.743 1.116
-1.679 8.473 1.116
-1.679 -2.234 8.249
Sm Dy Y
1 7 12
direct
0.000 0.000 0.000 Sm
0.917 0.648 0.981 Dy
0.352 0.019 0.083 Dy
0.019 0.083 0.352 Dy
0.500 0.500 0.500 Dy
0.981 0.917 0.648 Dy
0.648 0.981 0.917 Dy
0.083 0.352 0.019 Dy
0.813 0.250 0.685 Y
0.750 0.315 0.187 Y
0.478 0.148 0.415 Y
0.852 0.585 0.522 Y
0.315 0.187 0.750 Y
0.585 0.522 0.852 Y
0.415 0.478 0.148 Y
0.685 0.813 0.250 Y
0.148 0.415 0.478 Y
0.522 0.852 0.585 Y
0.250 0.685 0.813 Y
0.187 0.750 0.315 Y
```

## Properties
Its formation enthalpy at 0 K is 0.284 eV per atom. Its offset from the most stable computed form is 0 meV per atom. The theoretical density comes out at 6.00 g/cm3.

Record 3
DFT (PBE) results for crystalline CoBiSb2 at its relaxed geometry.

POSCAR file:
```
CoBiSb2
1.0
6.304 0.000 0.000
0.000 6.304 0.000
3.152 3.152 6.133
Sb Co Bi
4 2 2
direct
0.540 0.125 0.250 Sb
0.210 0.625 0.250 Sb
0.375 0.460 0.750 Sb
0.875 0.790 0.750 Sb
0.500 0.500 0.000 Co
0.250 0.750 0.500 Co
0.000 0.000 0.000 Bi
0.750 0.250 0.500 Bi
```

## Properties
The value obtained for the energy relative to the elements, uncorrected is 213 meV per atom. The theoretical density comes out at 6.97 g/cm3.

Record 4
DFT (PBE) results for crystalline ZnRu2Se at its relaxed geometry.

POSCAR file:
```
ZnRu2Se
1.0
-1.538 2.235 -1.372
0.434 -1.352 -2.688
-5.256 -3.162 0.741
Ru Se Zn
2 1 1
direct
0.000 0.000 0.009 Ru
0.000 0.000 0.491 Ru
0.500 0.500 0.250 Se
0.500 0.500 0.750 Zn
```

## Properties
The value obtained for the energy relative to the elements, uncorrected is 90 meV per atom. Its offset from the most stable computed form is 0 meV per atom. The theoretical density comes out at 10.08 g/cm3.

Record 5
DFT (PBE) results for crystalline Tb2TmThBi5 at its relaxed geometry.

POSCAR file:
```
Tb2TmThBi5
1.0
5.732 0.000 0.000
0.000 5.732 0.000
0.000 0.000 11.850
Tb Tm Th Bi
2 1 1 5
direct
0.500 0.500 0.271 Tb
0.500 0.500 0.729 Tb
0.000 0.000 0.000 Tm
0.000 0.000 0.500 Th
0.000 0.500 0.500 Bi
0.500 0.000 0.500 Bi
0.000 0.000 0.759 Bi
0.000 0.000 0.241 Bi
0.500 0.500 0.000 Bi
```

## Properties
Its formation enthalpy at 0 K is 0.212 eV per atom. The theoretical density comes out at 7.52 g/cm3.

Record 6
DFT (PBE) results for crystalline AgPd7Pt2 at its relaxed geometry.

POSCAR file:
```
AgPd7Pt2
1.0
-3.859 1.434 1.360
-3.174 -2.747 -6.109
0.671 -4.051 6.172
Ag Pd Pt
1 7 2
direct
0.000 0.000 0.000 Ag
0.000 0.796 0.204 Pd
0.000 0.204 0.796 Pd
0.500 0.073 0.293 Pd
0.500 0.927 0.707 Pd
0.500 0.293 0.073 Pd
0.500 0.707 0.927 Pd
0.500 0.500 0.500 Pd
0.500 0.698 0.302 Pt
0.500 0.302 0.698 Pt
```

## Properties
Its formation enthalpy at 0 K is 0.511 eV per atom. The theoretical density comes out at 10.16 g/cm3.

theoretical density of number 5 (Tb2TmThBi5)? 7.52 g/cm3

Which value of theoretical density does entry 6 give? 10.16 g/cm3

What is the formula in the first record? CsBi2OsO8